1.
Below is a relaxed structure of Cs2Na2Au, with properties calculated at the PBE-GGA level.

The structure in extended XYZ format:
```
10
Lattice="4.6343 0.0000 0.0000 0.0000 4.6343 0.0000 0.0000 0.0000 24.0985" Properties=species:S:1:pos:R:3 pbc="T T T"
Cs 0.0000 0.0000 2.0561
Cs 0.0000 0.0000 22.0424
Cs 2.3172 2.3172 9.9932
Cs 2.3172 2.3172 14.1053
Na 0.0000 2.3172 6.0246
Na 0.0000 2.3172 18.0738
Na 2.3172 0.0000 6.0246
Na 2.3172 0.0000 18.0738
Au 0.0000 0.0000 12.0492
Au 2.3172 2.3172 0.0000
```

Output
* symmetry: I4/mmm, No. 139
* total magnetization: 0.00 μB per atom
* E: -16.07 eV for the cell shown
* excess energy over the best structure of this formula in the dataset: 0.0224 eV per atom
* E_form: -7.9 kJ/mol of atoms

2.
Below is a relaxed structure of ZrSc2Ga3, with properties calculated at the PBE-GGA level.

The structure in extended XYZ format:
```
12
Lattice="4.8825 0.0000 0.0000 0.0000 14.5811 0.0000 0.0000 0.0000 3.1992" Properties=species:S:1:pos:R:3 pbc="T T T"
Zr 0.0000 0.0000 0.0000
Zr 2.4412 7.2906 0.0000
Sc 0.0000 4.8788 0.0000
Sc 0.0000 9.7024 0.0000
Sc 2.4412 2.4118 0.0000
Sc 2.4412 12.1693 0.0000
Ga 0.0000 2.4611 1.5996
Ga 0.0000 7.2906 1.5996
Ga 0.0000 12.1200 1.5996
Ga 2.4412 0.0000 1.5996
Ga 2.4412 4.8295 1.5996
Ga 2.4412 9.7517 1.5996
```

Output
* symmetry: Cmmm, No. 65
* total magnetization: 0.00 μB per atom
* E: -66.99 eV for the cell shown
* E_form: -51.5 kJ/mol of atoms

3.
Below is a relaxed structure of RbSr3S, with properties calculated at the PBE-GGA level.

The structure in extended XYZ format:
```
5
Lattice="7.0934 0.0000 0.0000 0.0000 7.0934 0.0000 0.0000 0.0000 7.0934" Properties=species:S:1:pos:R:3 pbc="T T T"
Rb 0.0000 0.0000 0.0000
Sr 0.0000 0.0000 3.5467
Sr 0.0000 3.5467 0.0000
Sr 3.5467 0.0000 0.0000
S 3.5467 3.5467 3.5467
```

Output
* symmetry: Pm-3m, No. 221
* total magnetization: 0.00 μB per atom
* E: -5.39 eV for the cell shown
* excess energy over the best structure of this formula in the dataset: 1.5602 eV per atom
* raw formation energy: 4.75 eV/f.u.

4.
Below is a relaxed structure of Rb2SrLaTi, with properties calculated at the PBE-GGA level.

The structure in extended XYZ format:
```
5
Lattice="7.0970 0.0000 0.0000 0.0000 7.0970 0.0000 0.0000 0.0000 5.1247" Properties=species:S:1:pos:R:3 pbc="T T T"
Rb 0.0000 3.5485 0.0000
Rb 3.5485 0.0000 0.0000
Sr 0.0000 0.0000 2.5623
La 3.5485 3.5485 0.0000
Ti 3.5485 3.5485 2.5623
```

Output
* symmetry: P4/mmm, No. 123
* total magnetization: 0.00 μB per atom
* E: -11.64 eV for the cell shown
* E_form: 92.6 kJ/mol of atoms